Density functional theory data (SCAN) for a PBEsol-optimized structure of Ba2FeCl.

Cell lengths 3.735, 3.735, 8.359 Å; angles 90.00, 90.00, 90.00 degrees
Site moments in Bohr magnetons follow the coordinates.
Atoms (fractional coordinates):
1 Cl 0.500 0.500 0.000  -0.03
2 Ba 0.000 0.000 0.735  -0.23
3 Ba 0.000 0.000 0.265  -0.23
4 Fe 0.500 0.500 0.500  2.84

Calculated values
VASP energy: -26.85 eV per atom
Magnetization: 1.43 μB/f.u.
Formation energy from raw total energies: -0.549 eV/atom